Here is a PBEsol-optimized structure of LiFeF4 from Alexandria. Energies are from SCAN.

Values from the calculation:
For the uncorrected formation energy, the calculation gives -2.68 eV per atom. The energy above the most stable polymorph in this dataset is 0 meV/atom.

Geometry as CIF:
```
data_LiFeF4
_chemical_formula_sum 'Li8 Fe8 F32'
_symmetry_space_group_name_H-M 'P n m a'
_symmetry_Int_Tables_number 62
_cell_length_a 10.157
_cell_length_b 7.379
_cell_length_c 7.392
_cell_angle_alpha 90.00
_cell_angle_beta 90.00
_cell_angle_gamma 90.00
loop_
_symmetry_equiv_pos_as_xyz
'x,y,z'
'-x,-y,-z'
'-x+1/2,-y,z+1/2'
'x+1/2,y,-z+1/2'
'x+1/2,-y+1/2,-z+1/2'
'-x+1/2,y+1/2,z+1/2'
'-x,y+1/2,-z'
'x,-y+1/2,z'
loop_
_atom_site_label
_atom_site_type_symbol
_atom_site_fract_x
_atom_site_fract_y
_atom_site_fract_z
_atom_site_occupancy
Li1 Li 0.020 0.250 0.137 1
Li2 Li 0.038 0.250 0.549 1
Fe1 Fe 0.242 0.504 0.374 1
F1 F 0.068 0.081 0.340 1
F2 F 0.106 0.082 0.976 1
F3 F 0.154 0.750 0.402 1
F4 F 0.184 0.750 0.844 1
F5 F 0.193 0.068 0.636 1
```

Here is a PBEsol-optimized structure of FePdI2N from Alexandria. Energies are from SCAN.

Values from the calculation:
For the uncorrected formation energy, the calculation gives 0.90 eV per atom. The density of states at the Fermi level is 0.633 states/eV/atom.

Geometry as CIF:
```
data_FePdI2N
_chemical_formula_sum 'Fe1 Pd1 I2 N1'
_symmetry_space_group_name_H-M 'P 4/m m m'
_symmetry_Int_Tables_number 123
_symmetry_space_group_name_Hall '-P 4 2'
_cell_length_a 5.539
_cell_length_b 5.539
_cell_length_c 3.675
_cell_angle_alpha 90.00
_cell_angle_beta 90.00
_cell_angle_gamma 90.00
loop_
_atom_site_label
_atom_site_type_symbol
_atom_site_fract_x
_atom_site_fract_y
_atom_site_fract_z
_atom_site_occupancy
Fe1 Fe 0.000 0.000 0.000 1
Pd1 Pd 0.500 0.500 0.500 1
I1 I 0.000 0.500 0.500 1
N1 N 0.500 0.500 0.000 1
```

Here is a PBEsol-optimized structure of CaMn2P from Alexandria. Energies are from SCAN.

Values from the calculation:
The density of states at the Fermi level is 0.589 states/eV/atom. The value obtained for the calculated formation energy is -0.111 eV/atom.

Geometry as CIF:
```
data_CaMn2P
_chemical_formula_sum 'Ca2 Mn4 P2'
_symmetry_space_group_name_H-M 'I m m 2'
_symmetry_Int_Tables_number 44
_cell_length_a 3.111
_cell_length_b 3.524
_cell_length_c 12.694
_cell_angle_alpha 90.00
_cell_angle_beta 90.00
_cell_angle_gamma 90.00
loop_
_symmetry_equiv_pos_as_xyz
'x,y,z'
'-x,-y,z'
'-x,y,z'
'x,-y,z'
'x+1/2,y+1/2,z+1/2'
'-x+1/2,-y+1/2,z+1/2'
'-x+1/2,y+1/2,z+1/2'
'x+1/2,-y+1/2,z+1/2'
loop_
_atom_site_label
_atom_site_type_symbol
_atom_site_fract_x
_atom_site_fract_y
_atom_site_fract_z
_atom_site_occupancy
Ca1 Ca 0.000 0.000 0.000 1
Mn1 Mn 0.000 0.000 0.657 1
Mn2 Mn 0.000 0.500 0.803 1
P1 P 0.000 0.500 0.286 1
```

Here is a PBEsol-optimized structure of LiUPH8O10 from Alexandria. Energies are from SCAN.

Values from the calculation:
Its total energy is -490.079 eV/cell. The density of states at the Fermi level is 0.000 states/eV/atom.

Geometry as CIF:
```
data_LiUPH8O10
_chemical_formula_sum 'Li2 U2 P2 H16 O20'
_symmetry_space_group_name_H-M 'P 4/n'
_symmetry_Int_Tables_number 85
_cell_length_a 6.832
_cell_length_b 6.832
_cell_length_c 9.049
_cell_angle_alpha 90.00
_cell_angle_beta 90.00
_cell_angle_gamma 90.00
loop_
_symmetry_equiv_pos_as_xyz
'x,y,z'
'-x,-y,-z'
'-y+1/2,x,z'
'y+1/2,-x,-z'
'-x+1/2,-y+1/2,z'
'x+1/2,y+1/2,-z'
'y,-x+1/2,z'
'-y,x+1/2,-z'
loop_
_atom_site_label
_atom_site_type_symbol
_atom_site_fract_x
_atom_site_fract_y
_atom_site_fract_z
_atom_site_occupancy
Li1 Li 0.250 0.750 0.000 1
U1 U 0.250 0.250 0.397 1
P1 P 0.250 0.750 0.500 1
H1 H 0.075 0.671 0.231 1
H2 H 0.090 0.394 0.879 1
O1 O 0.025 0.699 0.131 1
O2 O 0.079 0.810 0.603 1
O3 O 0.250 0.250 0.198 1
O4 O 0.250 0.250 0.596 1
```